No. 1
VASP calculation (PBE) on a geometry-optimized LaTaGaSe2 structure.

Calculated values
As for the total magnetization: 2.07 μB/f.u. The calculation puts the total DFT energy (no corrections) at -5.179 eV per atom.

a b c (Å): 5.1687 5.1687 4.9780
angles (deg): 90.00 90.00 90.00
Last column: magnetic moment on the atom in μB.
Positions (direct):
Ta: 0.0000 0.0000 0.5000  1.09
Se: 0.0000 0.5000 0.0000  -0.02
Se: 0.5000 0.0000 0.0000  -0.02
Ga: 0.0000 0.0000 0.0000  0.04
La: 0.5000 0.5000 0.5000  0.13

No. 2
VASP calculation (PBE) on a geometry-optimized MgTa2Ni9 structure.

Calculated values
As for the total magnetization: 0.00 μB/f.u. The calculation puts the total DFT energy (no corrections) at -6.743 eV per atom. The value obtained for the formation energy is -28.78 kJ/mol of atoms.

a b c (Å): 3.6713 3.6713 10.9508
angles (deg): 90.00 90.00 90.00
Positions (direct):
Mg: 0.0000 0.0000 0.0000
Ta: 0.0000 0.0000 0.6728
Ta: 0.0000 0.0000 0.3272
Ni: 0.0000 0.5000 0.8302
Ni: 0.5000 0.0000 0.1698
Ni: 0.5000 0.5000 0.0000
Ni: 0.5000 0.5000 0.3366
Ni: 0.0000 0.5000 0.5000
Ni: 0.0000 0.5000 0.1698
Ni: 0.5000 0.0000 0.5000
Ni: 0.5000 0.5000 0.6634
Ni: 0.5000 0.0000 0.8302